DFT (PBE) results for an optimized crystal structure of Ge2BN.

a b c (Å): 4.0667 4.0667 4.0667
angles (deg): 60.00 60.00 60.00
With the nearest neighbours (Å) after each atom.
Atoms (fractional coordinates):
Ge1 0.2500 0.2500 0.2500  4 N 2.49, 4 B 2.49
Ge2 0.7500 0.7500 0.7500  4 N 2.49, 4 B 2.49
B1 0.0000 0.0000 0.0000  8 Ge 2.49
N1 0.5000 0.5000 0.5000  8 Ge 2.49

Properties
E_tot: -18.3 eV/cell
Space group: Fm-3m, No. 225
DOS(E_F): 2.201 states/eV per cell
Relative energy among the computed polymorphs: 1.380 eV/atom
Formation energy from raw total energies: 1.47 eV per atom


DFT (PBE) results for an optimized crystal structure of Fe2ReCl.

a b c (Å): 2.7894 2.7894 7.0603
angles (deg): 90.00 90.00 90.00
With the nearest neighbours (Å) after each atom.
Atoms (fractional coordinates):
Re1 0.5000 0.5000 0.2500  8 Fe 2.64, 4 Re 2.79
Fe1 0.0000 0.0000 0.0025  4 Re 2.64, 4 Cl 2.66, 4 Fe 2.79
Fe2 0.0000 0.0000 0.4975  4 Re 2.64, 4 Cl 2.66, 4 Fe 2.79
Cl1 0.5000 0.5000 0.7500  8 Fe 2.66, 4 Cl 2.79

Properties
E_tot: -29.8 eV/cell
Space group: P4/mmm, No. 123
DOS(E_F): 1.824 states/eV per cell
Relative energy among the computed polymorphs: 0.077 eV/atom
Formation energy from raw total energies: 0.35 eV per atom


DFT (PBE) results for an optimized crystal structure of Dy3As6Pd20.

a b c (Å): 8.8779 8.8780 8.8780
angles (deg): 60.00 60.00 60.00
With the nearest neighbours (Å) after each atom.
Atoms (fractional coordinates):
Dy1 0.7500 0.7500 0.7500  4 Pd 2.86
Dy2 0.2500 0.2500 0.2500  4 Pd 2.86
Dy3 0.0000 0.0000 0.0000  12 Pd 3.09, 6 As 3.33
As1 0.2652 0.7348 0.7348  8 Pd 2.47-2.56
As2 0.7348 0.2652 0.2652  8 Pd 2.47-2.56
As3 0.2652 0.2652 0.7348  8 Pd 2.47-2.56
As4 0.7348 0.2652 0.7348  8 Pd 2.47-2.56
As5 0.2652 0.7348 0.2652  8 Pd 2.47-2.56
As6 0.7348 0.7348 0.2652  8 Pd 2.47-2.56
Pd1 0.3816 0.3816 0.8552  3 As 2.56, 1 Dy 2.86
Pd2 0.1448 0.6184 0.6184  3 As 2.56, 1 Dy 2.86
Pd3 0.6522 0.0000 0.0000  2 As 2.47, 1 Pd 2.70
Pd4 0.6522 0.3478 0.0000  2 As 2.47, 1 Pd 2.70
Pd5 0.0000 0.0000 0.6522  2 As 2.47, 1 Pd 2.70
Pd6 0.3816 0.8552 0.3816  3 As 2.56, 1 Dy 2.86
Pd7 0.0000 0.3478 0.6522  2 As 2.47, 1 Pd 2.70
Pd8 0.6522 0.0000 0.3478  2 As 2.47, 1 Pd 2.70
Pd9 0.0000 0.6522 0.0000  2 As 2.47, 1 Pd 2.70
Pd10 0.0000 0.0000 0.3478  2 As 2.47, 1 Pd 2.70
Pd11 0.3478 0.0000 0.6522  2 As 2.47, 1 Pd 2.70
Pd12 0.0000 0.3478 0.0000  2 As 2.47, 1 Pd 2.70
Pd13 0.3478 0.6522 0.0000  2 As 2.47, 1 Pd 2.70
Pd14 0.3478 0.0000 0.0000  2 As 2.47, 1 Pd 2.70
Pd15 0.3816 0.3816 0.3816  3 As 2.56, 1 Dy 2.86
Pd16 0.6184 0.6184 0.1448  3 As 2.56, 1 Dy 2.86
Pd17 0.6184 0.6184 0.6184  3 As 2.56, 1 Dy 2.86
Pd18 0.6184 0.1448 0.6184  3 As 2.56, 1 Dy 2.86
Pd19 0.8552 0.3816 0.3816  3 As 2.56, 1 Dy 2.86
Pd20 0.0000 0.6522 0.3478  2 As 2.47, 1 Pd 2.70

Properties
Formation enthalpy at 0 K: -13.918 kcal/mol of atoms
E_tot: -163.1 eV/cell
Space group: Fm-3m, No. 225
DOS(E_F): 22.116 states/eV per cell


DFT (PBE) results for an optimized crystal structure of BaAlRu2.

a b c (Å): 5.7116 5.7116 5.7116
angles (deg): 139.69 139.69 58.32
With the nearest neighbours (Å) after each atom.
Atoms (fractional coordinates):
Ru1 0.0000 0.0000 0.0000  4 Al 2.78
Ru2 0.2500 0.7500 0.5000  4 Ba 2.78
Ba1 0.7500 0.2500 0.5000  4 Ru 2.78
Al1 0.5000 0.5000 0.0000  4 Ru 2.78

Properties
Formation enthalpy at 0 K: 17.735 kcal/mol of atoms
E_tot: -21.1 eV/cell
Space group: I-4m2, No. 119
DOS(E_F): 5.083 states/eV per cell


DFT (PBE) results for an optimized crystal structure of AlTl3Bi.

a b c (Å): 5.4330 5.4330 5.4330
angles (deg): 90.00 90.00 90.00
With the nearest neighbours (Å) after each atom.
Atoms (fractional coordinates):
Tl1 0.0000 0.5000 0.0000  2 Al 2.72
Tl2 0.0000 0.0000 0.5000  2 Al 2.72
Tl3 0.5000 0.0000 0.0000  2 Al 2.72
Bi1 0.5000 0.5000 0.5000  12 Tl 3.84
Al1 0.0000 0.0000 0.0000  6 Tl 2.72

Properties
Formation enthalpy at 0 K: 6.717 kcal/mol of atoms
E_tot: -13.3 eV/cell
Space group: Pm-3m, No. 221
DOS(E_F): 3.439 states/eV per cell
Relative energy among the computed polymorphs: 0.000 eV/atom


DFT (PBE) results for an optimized crystal structure of Pu2ZnGa.

a b c (Å): 4.5296 4.3129 4.3129
angles (deg): 90.12 90.00 90.00
With the nearest neighbours (Å) after each atom.
Atoms (fractional coordinates):
Pu1 0.0000 0.0000 0.0000  4 Pu 3.05, 4 Zn 3.13, 4 Ga 3.13
Pu2 0.0000 0.5000 0.5000  4 Pu 3.05, 4 Ga 3.13, 4 Zn 3.13
Zn1 0.5000 0.5000 0.0000  4 Ga 3.05, 8 Pu 3.13
Ga1 0.5000 0.0000 0.5000  4 Zn 3.05, 8 Pu 3.13

Properties
Formation enthalpy at 0 K: -4.447 kcal/mol of atoms
E_tot: -33.7 eV/cell
Space group: Cmmm, No. 65
DOS(E_F): 9.074 states/eV per cell


Number 1: total magnetization 0.0000 μB per atom. Number 2: total magnetization 1.0798 μB per atom. Number 3: total magnetization 0.0000 μB per atom. Number 4: total magnetization 0.0017 μB per atom. Number 5: total magnetization 0.0000 μB per atom. Number 6: total magnetization 2.7459 μB per atom.